An optimized crystal structure of NaCa2ScTe4. Source: Alexandria via LeMat-Bulk, functional PBE.

Cell and atoms, written as extended XYZ:
```
8
Lattice="7.571 0.000 0.000 0.000 4.412 0.000 -2.454 0.000 7.307" Properties=species:S:1:pos:R:3 pbc="T T T"
Na 0.000 0.000 0.000
Ca 2.559 0.000 3.654
Ca 3.785 2.206 0.000
Sc -1.227 2.206 3.654
Te -0.044 0.000 5.360
Te 1.175 2.206 1.921
Te 3.942 2.206 5.387
Te 5.161 0.000 1.948
```

## Properties
Crystal system = monoclinic
Raw total energy = -4.39 eV/atom
SG = P2/m